An optimized crystal structure of Tl2Bi3, computed with PBE.

abc: 14.624 25.968 3.596
angles: 90.00 90.00 90.00
Space group Fdd2 (No. 43)
Asymmetric unit:
1 Tl 0.073 0.195 0.000
2 Bi 0.000 0.000 0.224
3 Bi 0.119 0.329 0.968

Output
* DFT formation energy: 0.100 eV/atom
* energy relative to the lowest polymorph listed for this composition: 4.3 kJ per mole of atoms
* spin magnetization: 0.00 μB/cell

An optimized crystal structure of Tl5Bi3, computed with PBE.

abc: 4.136 5.546 11.103
angles: 90.00 90.00 90.00
Space group Pmm2 (No. 25)
Asymmetric unit:
1 Tl 0.000 0.000 0.000
2 Tl 0.000 0.000 0.491
3 Tl 0.000 0.500 0.721
4 Tl 0.500 0.000 0.750
5 Tl 0.500 0.500 0.457
6 Bi 0.000 0.500 0.210
7 Bi 0.500 0.000 0.249
8 Bi 0.500 0.500 0.969

Output
* DFT formation energy: 0.024 eV/atom
* energy relative to the lowest polymorph listed for this composition: 3.5 kJ per mole of atoms
* spin magnetization: 0.00 μB/cell

An optimized crystal structure of Tl3Bi2, computed with PBE.

abc: 3.509 3.509 26.264
angles: 90.00 90.00 90.00
Space group I4/mmm (No. 139)
Asymmetric unit:
1 Tl 0.000 0.000 0.000
2 Tl 0.000 0.000 0.195
3 Bi 0.000 0.000 0.400

Output
* DFT formation energy: -0.023 eV/atom
* energy relative to the lowest polymorph listed for this composition: 0.0 kJ per mole of atoms
* spin magnetization: 0.00 μB/cell

An optimized crystal structure of Tl17Bi2, computed with PBE.

abc: 11.2463 11.2463 17.6558
angles: 90.00 90.00 120.00
Space group R-3m (No. 166, hexagonal axes)
Asymmetric unit:
1 Tl 0.0000 0.0000 0.0897
2 Tl 0.0000 0.3340 0.0000
3 Tl 0.0000 0.5000 0.5000
4 Tl 0.0018 0.5009 0.1638
5 Bi 0.0000 0.0000 0.2761

Output
* DFT formation energy: 0.080 eV/atom
* spin magnetization: 0.00 μB/cell

An optimized crystal structure of Tl6Bi, computed with PBE.

abc: 5.5280 5.5280 24.8928
angles: 90.00 90.00 120.00
Space group R-3m (No. 166, hexagonal axes)
Asymmetric unit:
1 Tl 0.0000 0.0000 0.0696
2 Tl 0.0000 0.0000 0.2142
3 Tl 0.0000 0.0000 0.3572
4 Bi 0.0000 0.0000 0.5000

Output
* DFT formation energy: -0.004 eV/atom
* energy relative to the lowest polymorph listed for this composition: 0.0 kJ per mole of atoms
* spin magnetization: 0.00 μB/cell

An optimized crystal structure of Tl5Bi3, computed with PBE.

abc: 9.992 10.551 4.879
angles: 90.00 90.00 90.00
Space group Cmmm (No. 65)
Asymmetric unit:
1 Tl 0.000 0.000 0.000
2 Tl 0.000 0.249 0.500
3 Tl 0.250 0.250 0.000
4 Bi 0.000 0.500 0.000
5 Bi 0.236 0.500 0.500

Output
* DFT formation energy: -0.013 eV/atom
* energy relative to the lowest polymorph listed for this composition: 0.0 kJ per mole of atoms
* spin magnetization: 0.00 μB/cell

An optimized crystal structure of TlBi3, computed with PBE.

abc: 5.028 5.028 5.028
angles: 90.00 90.00 90.00
Space group Pm-3m (No. 221)
Asymmetric unit:
1 Tl 0.000 0.000 0.000
2 Bi 0.000 0.500 0.500

Output
* DFT formation energy: 0.068 eV/atom
* energy relative to the lowest polymorph listed for this composition: 2.9 kJ per mole of atoms
* spin magnetization: 0.00 μB/cell

An optimized crystal structure of TlBi4, computed with PBE.

abc: 3.386 5.615 17.145
angles: 90.00 90.00 90.00
Space group Immm (No. 71)
Asymmetric unit:
1 Tl 0.000 0.000 0.000
2 Bi 0.000 0.000 0.214
3 Bi 0.000 0.000 0.404

Output
* DFT formation energy: 0.109 eV/atom
* energy relative to the lowest polymorph listed for this composition: 0.0 kJ per mole of atoms
* spin magnetization: 0.00 μB/cell

An optimized crystal structure of Tl6Bi, computed with PBE.

abc: 8.493 8.493 8.493
angles: 90.00 90.00 90.00
Space group Im-3m (No. 229)
Asymmetric unit:
1 Tl 0.000 0.250 0.500
2 Bi 0.000 0.000 0.000

Output
* DFT formation energy: 0.548 eV/atom
* energy relative to the lowest polymorph listed for this composition: 53.3 kJ per mole of atoms
* spin magnetization: 0.00 μB/cell

An optimized crystal structure of TlBi, computed with PBE.

abc: 5.6175 5.6175 10.1824
angles: 90.00 90.00 120.00
Space group P6_3/mmc (No. 194)
Asymmetric unit:
1 Tl 0.3333 0.6667 0.0828
2 Bi 0.0000 0.0000 0.2500
3 Bi 0.3333 0.6667 0.7500

Output
* DFT formation energy: 0.062 eV/atom
* spin magnetization: 0.00 μB/cell

An optimized crystal structure of TlBi3, computed with PBE.

abc: 11.276 4.293 5.757
angles: 90.00 107.29 90.00
Space group C2/m (No. 12)
Asymmetric unit:
1 Tl 0.000 0.000 0.000
2 Bi 0.000 0.500 0.500
3 Bi 0.237 0.000 0.708

Output
* DFT formation energy: 0.051 eV/atom
* energy relative to the lowest polymorph listed for this composition: 1.3 kJ per mole of atoms
* spin magnetization: 0.00 μB/cell

An optimized crystal structure of Tl4Bi3, computed with PBE.

abc: 6.5591 6.5591 6.4773
angles: 90.00 90.00 120.00
Space group P6/mmm (No. 191)
Asymmetric unit:
1 Tl 0.0000 0.0000 0.2469
2 Tl 0.3333 0.6667 0.0000
3 Bi 0.0000 0.5000 0.5000

Output
* DFT formation energy: 0.024 eV/atom
* energy relative to the lowest polymorph listed for this composition: 2.7 kJ per mole of atoms
* spin magnetization: 0.00 μB/cell

An optimized crystal structure of Tl15Bi, computed with PBE.

abc: 7.2185 7.2185 11.1062
angles: 90.00 90.00 120.00
Space group P-6m2 (No. 187)
Asymmetric unit:
1 Tl 0.0000 0.0000 0.0000
2 Tl 0.0033 0.5017 0.0000
3 Tl 0.0037 0.5019 0.5000
4 Tl 0.3333 0.6667 0.2457
5 Tl 0.3352 0.1676 0.2503
6 Bi 0.0000 0.0000 0.5000

Output
* DFT formation energy: -0.002 eV/atom
* spin magnetization: 0.00 μB/cell

An optimized crystal structure of Tl5Bi4, computed with PBE.

abc: 10.862 5.152 10.643
angles: 90.00 104.62 90.00
Space group C2/m (No. 12)
Asymmetric unit:
1 Tl 0.000 0.000 0.000
2 Tl 0.169 0.500 0.559
3 Tl 0.169 0.500 0.891
4 Bi 0.005 0.000 0.665
5 Bi 0.157 0.500 0.233

Output
* DFT formation energy: 0.010 eV/atom
* spin magnetization: 0.00 μB/cell

An optimized crystal structure of TlBi, computed with PBE.

abc: 5.4662 5.4662 16.9981
angles: 90.00 90.00 120.00
Space group R-3m (No. 166, hexagonal axes)
Asymmetric unit:
1 Tl 0.0000 0.0000 0.1069
2 Bi 0.0000 0.0000 0.3085

Output
* DFT formation energy: 0.042 eV/atom
* spin magnetization: 0.00 μB/cell

An optimized crystal structure of Tl7Bi3, computed with PBE.

abc: 18.444 4.807 7.299
angles: 90.00 96.67 90.00
Space group C2/m (No. 12)
Asymmetric unit:
1 Tl 0.000 0.000 0.000
2 Tl 0.097 0.500 0.795
3 Tl 0.098 0.500 0.302
4 Tl 0.197 0.000 0.592
5 Bi 0.000 0.000 0.500
6 Bi 0.205 0.000 0.080

Output
* DFT formation energy: -0.018 eV/atom
* energy relative to the lowest polymorph listed for this composition: 0.0 kJ per mole of atoms
* spin magnetization: 0.00 μB/cell

An optimized crystal structure of TlBi4, computed with PBE.

abc: 5.816 5.816 5.816
angles: 90.00 90.00 90.00
Space group Pm-3m (No. 221)
Asymmetric unit:
1 Tl 0.000 0.000 0.000
2 Bi 0.000 0.000 0.500
3 Bi 0.500 0.500 0.500

Output
* DFT formation energy: 0.788 eV/atom
* energy relative to the lowest polymorph listed for this composition: 65.5 kJ per mole of atoms
* spin magnetization: 0.00 μB/cell

An optimized crystal structure of TlBi2, computed with PBE.

abc: 3.996 3.996 12.434
angles: 90.00 90.00 90.00
Space group I4/mmm (No. 139)
Asymmetric unit:
1 Tl 0.000 0.000 0.000
2 Bi 0.000 0.000 0.316

Output
* DFT formation energy: 0.040 eV/atom
* energy relative to the lowest polymorph listed for this composition: 5.8 kJ per mole of atoms
* spin magnetization: 0.00 μB/cell

An optimized crystal structure of TlBi, computed with PBE.

abc: 10.845 5.413 6.872
angles: 90.00 90.00 90.00
Space group Pmn2_1 (No. 31)
Asymmetric unit:
1 Tl 0.000 0.244 0.000
2 Tl 0.171 0.771 0.247
3 Bi 0.000 0.305 0.495
4 Bi 0.144 0.720 0.745

Output
* DFT formation energy: 0.053 eV/atom
* spin magnetization: 0.00 μB/cell

An optimized crystal structure of TlBi3, computed with PBE.

abc: 5.039 12.744 8.717
angles: 90.00 90.00 90.00
Space group Cmcm (No. 63)
Asymmetric unit:
1 Tl 0.000 0.075 0.250
2 Bi 0.000 0.199 0.750
3 Bi 0.000 0.381 0.033

Output
* DFT formation energy: 0.038 eV/atom
* energy relative to the lowest polymorph listed for this composition: 0.0 kJ per mole of atoms
* spin magnetization: 0.00 μB/cell